SmCdMoO6 after structural relaxation, computed with GGA+U.

Calculated values
final energy	-6.451	eV per atom
N(E_F)	4.83	states/eV per cell
total magnetic moment	0.116	μB/atom
calculated volume	129.7	Å³ per cell
symmetry	P312, No. 149

a b c (Å): 5.674 5.674 4.653
angles (deg): 90.00 90.00 120.00
Atoms (fractional coordinates):
1 Sm 0.000 0.000 0.000
2 Cd 0.667 0.333 0.500
3 Mo 0.333 0.667 0.000
4 O 0.043 0.383 0.230
5 O 0.043 0.660 0.770
6 O 0.340 0.383 0.770
7 O 0.340 0.957 0.230
8 O 0.617 0.660 0.230
9 O 0.617 0.957 0.770